DFT (PBE-GGA) results for a geometry-optimized Sr2CdO2F2 structure.

Cell lengths 4.3445, 4.3445, 7.2041 Å; angles 107.55, 107.55, 90.00 degrees
Positions (direct):
1 Sr 0.6229 0.6229 0.2457
2 Cd 0.0000 0.0000 0.0000
3 O 0.5000 0.0000 0.0000
4 O 0.0000 0.5000 0.0000
5 F 0.8049 0.8049 0.6099
6 Sr 0.3771 0.3771 0.7543
7 F 0.1951 0.1951 0.3901

Output
total magnetic moment: 0.00 μB per cell
ΔE_f (raw): -2.5753 eV/atom
space group: I4/mmm (139)

***

DFT (PBE-GGA) results for a geometry-optimized SrCdO2F structure.

Cell lengths 4.2209, 4.2209, 4.4324 Å; angles 90.00, 90.00, 90.00 degrees
Positions (direct):
1 Cd 0.0000 0.0000 0.0000
2 O 0.0000 0.5000 0.0000
3 O 0.5000 0.0000 0.0000
4 F 0.0000 0.0000 0.5000
5 Sr 0.5000 0.5000 0.5000

Output
total magnetic moment: 0.00 μB per cell
ΔE_f (raw): -1.7558 eV/atom
space group: P4/mmm (123)

***

DFT (PBE-GGA) results for a geometry-optimized SrCdO2F structure.

Cell lengths 4.6261, 4.6261, 4.5161 Å; angles 90.00, 90.00, 90.00 degrees
Positions (direct):
1 Sr 0.0000 0.0000 0.0000
2 O 0.5000 0.0000 0.0000
3 O 0.0000 0.5000 0.0000
4 F 0.0000 0.0000 0.5000
5 Cd 0.5000 0.5000 0.5000

Output
total magnetic moment: 1.12 μB per cell
ΔE_f (raw): -1.1287 eV/atom
space group: P4/mmm (123)

***

DFT (PBE-GGA) results for a geometry-optimized TaCdOF2 structure.

Cell lengths 4.2102, 4.2102, 4.5351 Å; angles 90.00, 90.00, 90.00 degrees
Positions (direct):
1 F 0.5000 0.0000 0.0000
2 Ta 0.5000 0.5000 0.5000
3 Cd 0.0000 0.0000 0.0000
4 O 0.0000 0.0000 0.5000
5 F 0.0000 0.5000 0.0000

Output
total magnetic moment: 2.93 μB per cell
offset from the most stable computed form: 1451 meV per atom
ΔE_f (raw): -0.3269 eV/atom
space group: P4/mmm (123)

***

DFT (PBE-GGA) results for a geometry-optimized TaCdOF2 structure.

Cell lengths 4.3782, 4.3782, 3.9343 Å; angles 90.00, 90.00, 90.00 degrees
Positions (direct):
1 Cd 0.5000 0.5000 0.5000
2 F 0.0000 0.5000 0.0000
3 F 0.5000 0.0000 0.0000
4 O 0.0000 0.0000 0.5000
5 Ta 0.0000 0.0000 0.0000

Output
total magnetic moment: 1.05 μB per cell
offset from the most stable computed form: 0 meV per atom
ΔE_f (raw): -1.7778 eV/atom
space group: P4/mmm (123)

***

DFT (PBE-GGA) results for a geometry-optimized CdTcOF2 structure.

Cell lengths 4.3475, 4.3475, 3.7758 Å; angles 90.00, 90.00, 90.00 degrees
Positions (direct):
1 O 0.0000 0.0000 0.5000
2 F 0.5000 0.0000 0.0000
3 Tc 0.0000 0.0000 0.0000
4 F 0.0000 0.5000 0.0000
5 Cd 0.5000 0.5000 0.5000

Output
total magnetic moment: 0.00 μB per cell
offset from the most stable computed form: 0 meV per atom
ΔE_f (raw): -1.1155 eV/atom
space group: P4/mmm (123)